(1)
This record from the Alexandria database describes a relaxed Ag2RuPtBr crystal. The functional is PBEsol.

As for the uncorrected formation energy: 1296 meV per atom. As for the density of states at the Fermi level: 1.272 states/eV/atom. The raw total energy is -19.147 eV/cell. For the total magnetization, the calculation gives 0.6 μB/f.u.

It has space group P4/mmm (No. 123), with a = 5.0641 Å, b = 5.0641 Å, c = 4.5723 Å, α = 90.00°, β = 90.00° and γ = 90.00°. The distinct sites, in fractional coordinates, are Ag at (0.0000, 0.5000, 0.0000), Ru at (0.0000, 0.0000, 0.0000), Pt at (0.0000, 0.0000, 0.5000) and Br at (0.5000, 0.5000, 0.5000).

(2)
This record from the Alexandria database describes a relaxed SrAg2PtBr crystal. The functional is PBEsol.

As for the uncorrected formation energy: 1137 meV per atom. As for the density of states at the Fermi level: 0.518 states/eV/atom. The raw total energy is -11.610 eV/cell. For the total magnetization, the calculation gives 0.0 μB/f.u.

It has space group P4/mmm (No. 123), with a = 5.5211 Å, b = 5.5211 Å, c = 5.3092 Å, α = 90.00°, β = 90.00° and γ = 90.00°. The distinct sites, in fractional coordinates, are Sr at (0.0000, 0.0000, 0.0000), Ag at (0.0000, 0.5000, 0.0000), Pt at (0.5000, 0.5000, 0.5000) and Br at (0.0000, 0.0000, 0.5000).

(3)
This record from the Alexandria database describes a relaxed Rb2AgRuBr crystal. The functional is PBEsol.

As for the uncorrected formation energy: 536 meV per atom. As for the density of states at the Fermi level: 1.006 states/eV/atom. The raw total energy is -14.725 eV/cell. For the total magnetization, the calculation gives 0.8 μB/f.u.

It has space group P4/mmm (No. 123), with a = 6.4070 Å, b = 6.4070 Å, c = 4.5885 Å, α = 90.00°, β = 90.00° and γ = 90.00°. The distinct sites, in fractional coordinates, are Rb at (0.0000, 0.5000, 0.0000), Ag at (0.0000, 0.0000, 0.5000), Ru at (0.5000, 0.5000, 0.0000) and Br at (0.5000, 0.5000, 0.5000).

(4)
This record from the Alexandria database describes a relaxed RbAgSe2Br crystal. The functional is PBEsol.

As for the uncorrected formation energy: 889 meV per atom. As for the density of states at the Fermi level: 1.145 states/eV/atom. The raw total energy is -9.461 eV/cell. For the total magnetization, the calculation gives 3.0 μB/f.u.

It has space group P4/mmm (No. 123), with a = 6.0443 Å, b = 6.0443 Å, c = 6.0519 Å, α = 90.00°, β = 90.00° and γ = 90.00°. The distinct sites, in fractional coordinates, are Rb at (0.0000, 0.0000, 0.0000), Ag at (0.5000, 0.5000, 0.5000), Se at (0.0000, 0.5000, 0.0000) and Br at (0.0000, 0.0000, 0.5000).

(5)
This record from the Alexandria database describes a relaxed RbAgSeBr2 crystal. The functional is PBEsol.

As for the uncorrected formation energy: -537 meV per atom. As for the density of states at the Fermi level: 1.010 states/eV/atom. The raw total energy is -14.611 eV/cell. For the total magnetization, the calculation gives 0.9 μB/f.u.

It has space group P4/mmm (No. 123), with a = 5.3870 Å, b = 5.3870 Å, c = 5.0412 Å, α = 90.00°, β = 90.00° and γ = 90.00°. The distinct sites, in fractional coordinates, are Rb at (0.0000, 0.0000, 0.0000), Ag at (0.5000, 0.5000, 0.5000), Se at (0.5000, 0.5000, 0.0000) and Br at (0.0000, 0.5000, 0.5000).

(6)
This record from the Alexandria database describes a relaxed Rb2TiAgBr crystal. The functional is PBEsol.

As for the uncorrected formation energy: 390 meV per atom. As for the density of states at the Fermi level: 0.821 states/eV/atom. The raw total energy is -13.606 eV/cell. For the total magnetization, the calculation gives 3.6 μB/f.u.

It has space group P4/mmm (No. 123), with a = 6.7357 Å, b = 6.7357 Å, c = 4.8649 Å, α = 90.00°, β = 90.00° and γ = 90.00°. The distinct sites, in fractional coordinates, are Rb at (0.0000, 0.5000, 0.0000), Ti at (0.0000, 0.0000, 0.0000), Ag at (0.5000, 0.5000, 0.5000) and Br at (0.0000, 0.0000, 0.5000).

(7)
This record from the Alexandria database describes a relaxed Rb2TlAgBr6 crystal. The functional is PBEsol.

As for the uncorrected formation energy: -967 meV per atom. As for the density of states at the Fermi level: 0.226 states/eV/atom. The raw total energy is -115.512 eV/cell. For the total magnetization, the calculation gives 0.0 μB/f.u.

It has space group Fm-3m (No. 225), with a = 10.9449 Å, b = 10.9449 Å, c = 10.9449 Å, α = 90.00°, β = 90.00° and γ = 90.00°. The distinct sites, in fractional coordinates, are Rb at (0.2500, 0.2500, 0.2500), Tl at (0.0000, 0.0000, 0.0000), Ag at (0.0000, 0.0000, 0.5000) and Br at (0.0000, 0.0000, 0.2540).

(8)
This record from the Alexandria database describes a relaxed Re2AgBr crystal. The functional is PBEsol.

As for the uncorrected formation energy: 1519 meV per atom. As for the density of states at the Fermi level: 1.306 states/eV/atom. The raw total energy is -51.535 eV/cell. For the total magnetization, the calculation gives 0.0 μB/f.u. For the relative energy among the computed polymorphs, the calculation gives 0.490 eV/atom.

It has space group I4/mmm (No. 139), with a = 3.7675 Å, b = 3.7675 Å, c = 9.4367 Å, α = 90.00°, β = 90.00° and γ = 90.00°. The distinct sites, in fractional coordinates, are Re at (0.0000, 0.5000, 0.2500), Ag at (0.0000, 0.0000, 0.0000) and Br at (0.0000, 0.0000, 0.5000).

Repeat the fourth record exactly.
This record from the Alexandria database describes a relaxed RbAgSe2Br crystal. The functional is PBEsol.

As for the uncorrected formation energy: 889 meV per atom. As for the density of states at the Fermi level: 1.145 states/eV/atom. The raw total energy is -9.461 eV/cell. For the total magnetization, the calculation gives 3.0 μB/f.u.

It has space group P4/mmm (No. 123), with a = 6.0443 Å, b = 6.0443 Å, c = 6.0519 Å, α = 90.00°, β = 90.00° and γ = 90.00°. The distinct sites, in fractional coordinates, are Rb at (0.0000, 0.0000, 0.0000), Ag at (0.5000, 0.5000, 0.5000), Se at (0.0000, 0.5000, 0.0000) and Br at (0.0000, 0.0000, 0.5000).

Repeat the first record exactly.
This record from the Alexandria database describes a relaxed Ag2RuPtBr crystal. The functional is PBEsol.

As for the uncorrected formation energy: 1296 meV per atom. As for the density of states at the Fermi level: 1.272 states/eV/atom. The raw total energy is -19.147 eV/cell. For the total magnetization, the calculation gives 0.6 μB/f.u.

It has space group P4/mmm (No. 123), with a = 5.0641 Å, b = 5.0641 Å, c = 4.5723 Å, α = 90.00°, β = 90.00° and γ = 90.00°. The distinct sites, in fractional coordinates, are Ag at (0.0000, 0.5000, 0.0000), Ru at (0.0000, 0.0000, 0.0000), Pt at (0.0000, 0.0000, 0.5000) and Br at (0.5000, 0.5000, 0.5000).

- raw total energy of number 1 (Ag2RuPtBr)?
  -19.147 eV/cell